[1]
Below is a relaxed structure of Cd3Fe2, with properties calculated at the PBE level.

a = 2.9006 Å, b = 2.9006 Å, c = 36.0467 Å
α = 90.00°, β = 90.00°, γ = 120.00°
Closest atoms and distances in Å follow each position.
Space group R-3m (No. 166, hexagonal axes)
Unique sites:
Cd 0.0000 0.0000 0.0000 (multiplicity 3)  6 Fe 2.85, 6 Cd 2.90
Cd 0.0000 0.0000 0.2059 (multiplicity 6)  3 Fe 2.84, 6 Cd 2.90
Fe 0.0000 0.0000 0.3972 (multiplicity 6)  6 Cd 2.84-2.85, 6 Fe 2.90

Values from the calculation:
Relative energy among the computed polymorphs   0.00 kJ/mol of atoms
Uncorrected energy   -3.59 eV per atom



[2]
Below is a relaxed structure of ReRh2Br, with properties calculated at the PBE level.

a = 2.8553 Å, b = 4.1813 Å, c = 12.4037 Å
α = 90.00°, β = 90.00°, γ = 90.00°
Closest atoms and distances in Å follow each position.
Space group Imm2 (No. 44)
Unique sites:
Re 0.0000 0.0000 0.0000 (multiplicity 2)  2 Br 2.62, 6 Rh 2.62-2.66, 2 Re 2.86
Rh 0.0000 0.0000 0.5559 (multiplicity 2)  4 Rh 2.61-2.86, 4 Re 2.62
Rh 0.0000 0.5000 0.6813 (multiplicity 2)  4 Rh 2.61-2.86, 2 Re 2.66
Br 0.0000 0.5000 0.3229 (multiplicity 2)  2 Re 2.62, 2 Br 2.86

Values from the calculation:
Relative energy among the computed polymorphs   29.62 kJ/mol of atoms
Uncorrected formation energy   0.61 eV/atom
Uncorrected energy   -6.59 eV per atom



What is the relative energy among the computed polymorphs in the second record?
29.62 kJ/mol of atoms